Record 1
DFT (PBE-GGA) results for a geometry-optimized CsSr2TlCl8 structure.

Calculated values
E_form (uncorrected): -168.25 kJ per mole of atoms
Space-group type: No. 2
ρ: 3.2 g/cm³

Lattice parameters (Å, degrees): 6.724 6.669 9.256 89.91 89.95 89.46
Atoms (fractional coordinates):
Cs  0.000  0.000  0.500
Sr  0.500  0.500  0.755
Sr  0.500  0.500  0.245
Tl  0.000  0.000  0.000
Cl  0.149  0.764  0.197
Cl  0.670  0.747  0.000
Cl  0.850  0.235  0.197
Cl  0.851  0.236  0.803
Cl  0.330  0.253  0.000
Cl  0.150  0.765  0.803
Cl  0.590  0.733  0.500
Cl  0.410  0.267  0.500

Record 2
DFT (PBE-GGA) results for a geometry-optimized PmBe2SiIr structure.

Calculated values
E_form (uncorrected): -50.10 kJ per mole of atoms
Space-group type: No. 44
ρ: 8.2 g/cm³

Lattice parameters (Å, degrees): 3.941 3.887 5.771 109.68 109.97 90.00
Atoms (fractional coordinates):
Pm  0.444  0.444  0.888
Be  0.692  0.192  0.384
Be  0.069  0.069  0.138
Si  0.820  0.820  0.641
Ir  0.187  0.687  0.374

Record 3
DFT (PBE-GGA) results for a geometry-optimized TlPPd2 structure.

Calculated values
Formation energy from the elements: 0.069 eV/atom
Offset from the most stable computed form: 378 meV/atom
Space-group type: No. 225
ρ: 10.8 g/cm³

Lattice parameters (Å, degrees): 4.608 4.608 4.608 60.00 60.00 60.00
Atoms (fractional coordinates):
P  0.000  0.000  0.000
Tl  0.500  0.500  0.500
Pd  0.250  0.250  0.250
Pd  0.750  0.750  0.750

Record 4
DFT (PBE-GGA) results for a geometry-optimized IrSe2 structure.

Calculated values
E_form (uncorrected): -32.45 kJ per mole of atoms
Space-group type: No. 62
ρ: 9.6 g/cm³

Lattice parameters (Å, degrees): 3.804 6.018 21.250 90.00 90.00 90.00
Atoms (fractional coordinates):
Ir  0.250  0.939  0.805
Ir  0.750  0.061  0.195
Ir  0.750  0.439  0.695
Ir  0.250  0.561  0.305
Ir  0.250  0.928  0.576
Ir  0.750  0.072  0.424
Ir  0.750  0.428  0.924
Ir  0.250  0.572  0.076
Se  0.250  0.569  0.862
Se  0.750  0.431  0.138
Se  0.750  0.069  0.638
Se  0.250  0.931  0.362
Se  0.250  0.186  0.261
Se  0.750  0.814  0.739
Se  0.750  0.686  0.239
Se  0.250  0.314  0.761
Se  0.250  0.277  0.991
Se  0.750  0.723  0.009
Se  0.750  0.777  0.509
Se  0.250  0.223  0.491
Se  0.250  0.954  0.122
Se  0.750  0.046  0.878
Se  0.750  0.454  0.378
Se  0.250  0.546  0.622

Record 5
DFT (PBE-GGA) results for a geometry-optimized Mg2NpI8 structure.

Calculated values
E_form (uncorrected): -80.86 kJ per mole of atoms
Space-group type: No. 12
ρ: 4.0 g/cm³

Lattice parameters (Å, degrees): 7.290 9.552 9.552 54.94 91.57 91.57
Each line ends with the local moment (μB).
Atoms (fractional coordinates):
Mg  0.589  0.837  0.837  0.00
Mg  0.411  0.163  0.163  0.00
Np  0.000  0.000  0.000  3.42
I  0.254  0.309  0.833  -0.06
I  0.746  0.167  0.691  -0.06
I  0.205  0.847  0.847  -0.06
I  0.795  0.153  0.153  -0.06
I  0.254  0.833  0.309  -0.06
I  0.746  0.691  0.167  -0.06
I  0.666  0.687  0.687  -0.07
I  0.334  0.313  0.313  -0.07

Record 6
DFT (PBE-GGA) results for a geometry-optimized KZnSb2 structure.

Calculated values
E_form (uncorrected): -8.73 kJ per mole of atoms
Space-group type: No. 8
ρ: 4.2 g/cm³

Lattice parameters (Å, degrees): 5.912 5.912 6.285 73.32 73.32 41.11
Atoms (fractional coordinates):
K  0.244  0.244  0.243
Sb  0.049  0.049  0.854
Sb  0.769  0.769  0.708
Zn  0.439  0.439  0.695

Record 7
DFT (PBE-GGA) results for a geometry-optimized Hf2TiNi9 structure.

Calculated values
Formation energy from the elements: -0.488 eV/atom
Space-group type: No. 123
ρ: 10.3 g/cm³

Lattice parameters (Å, degrees): 3.697 3.697 11.025 90.00 90.00 90.00
Atoms (fractional coordinates):
Hf  0.000  0.000  0.329
Hf  0.000  0.000  0.671
Ti  0.000  0.000  0.000
Ni  0.500  0.500  0.000
Ni  0.500  0.500  0.330
Ni  0.500  0.500  0.670
Ni  0.500  0.000  0.159
Ni  0.500  0.000  0.500
Ni  0.500  0.000  0.841
Ni  0.000  0.500  0.159
Ni  0.000  0.500  0.500
Ni  0.000  0.500  0.841

Record 8
DFT (PBE-GGA) results for a geometry-optimized PmLuGePd structure.

Calculated values
Formation energy from the elements: -0.772 eV/atom
Space-group type: No. 216
ρ: 9.2 g/cm³

Lattice parameters (Å, degrees): 5.033 5.033 5.033 60.00 60.00 60.00
Atoms (fractional coordinates):
Ge  0.250  0.250  0.250
Lu  0.500  0.500  0.500
Pd  0.750  0.750  0.750
Pm  0.000  0.000  0.000

Record 9
DFT (PBE-GGA) results for a geometry-optimized Si2RhAu structure.

Calculated values
E_form (uncorrected): -5.08 kJ per mole of atoms
Offset from the most stable computed form: 230 meV/atom
Space-group type: No. 123
ρ: 9.8 g/cm³

Lattice parameters (Å, degrees): 3.102 3.102 6.242 90.00 90.00 90.00
Atoms (fractional coordinates):
Au  0.500  0.500  0.250
Rh  0.500  0.500  0.750
Si  0.000  0.000  0.970
Si  0.000  0.000  0.530

Record 10
DFT (PBE-GGA) results for a geometry-optimized Ca3SiPb structure.

Calculated values
E_form (uncorrected): 26.18 kJ per mole of atoms
Offset from the most stable computed form: 503 meV/atom
Space-group type: No. 221
ρ: 2.9 g/cm³

Lattice parameters (Å, degrees): 5.884 5.884 5.884 90.00 90.00 90.00
Each line ends with the local moment (μB).
Atoms (fractional coordinates):
Pb  0.000  0.000  0.000  0.06
Ca  0.000  0.500  0.000  0.03
Ca  0.000  0.000  0.500  0.01
Ca  0.500  0.000  0.000  0.05
Si  0.500  0.500  0.500  0.26

Record 11
DFT (PBE-GGA) results for a geometry-optimized Ca3Si4 structure.

Calculated values
E_form (uncorrected): -45.58 kJ per mole of atoms
Offset from the most stable computed form: 0 meV/atom
Space-group type: No. 176
ρ: 2.5 g/cm³

Lattice parameters (Å, degrees): 8.546 8.546 14.901 90.00 90.00 120.00
Atoms (fractional coordinates):
Ca  0.000  0.000  0.000
Ca  0.000  0.000  0.500
Ca  0.667  0.333  0.750
Ca  0.333  0.667  0.250
Ca  0.578  0.907  0.903
Ca  0.422  0.093  0.097
Ca  0.328  0.422  0.903
Ca  0.422  0.093  0.403
Ca  0.672  0.578  0.097
Ca  0.578  0.907  0.597
Ca  0.093  0.672  0.903
Ca  0.672  0.578  0.403
Ca  0.907  0.328  0.097
Ca  0.328  0.422  0.597
Ca  0.907  0.328  0.403
Ca  0.093  0.672  0.597
Ca  0.000  0.000  0.750
Ca  0.000  0.000  0.250
Si  0.619  0.675  0.750
Si  0.381  0.325  0.250
Si  0.056  0.381  0.750
Si  0.944  0.619  0.250
Si  0.325  0.944  0.750
Si  0.675  0.056  0.250
Si  0.333  0.667  0.750
Si  0.667  0.333  0.250
Si  0.667  0.333  0.943
Si  0.333  0.667  0.057
Si  0.333  0.667  0.443
Si  0.667  0.333  0.557
Si  0.909  0.263  0.890
Si  0.091  0.737  0.110
Si  0.354  0.091  0.890
Si  0.091  0.737  0.390
Si  0.646  0.909  0.110
Si  0.909  0.263  0.610
Si  0.737  0.646  0.890
Si  0.646  0.909  0.390
Si  0.263  0.354  0.110
Si  0.354  0.091  0.610
Si  0.263  0.354  0.390
Si  0.737  0.646  0.610

Record 12
DFT (PBE-GGA) results for a geometry-optimized Cs2K2Pt structure.

Calculated values
Formation energy from the elements: 0.166 eV/atom
Offset from the most stable computed form: 0 meV/atom
Space-group type: No. 127
ρ: 3.3 g/cm³

Lattice parameters (Å, degrees): 8.748 8.748 7.094 90.00 90.00 90.00
Atoms (fractional coordinates):
Cs  0.200  0.700  0.500
Cs  0.700  0.800  0.500
Cs  0.800  0.300  0.500
Cs  0.300  0.200  0.500
K  0.330  0.830  0.000
K  0.830  0.670  0.000
K  0.670  0.170  0.000
K  0.170  0.330  0.000
Pt  0.000  0.000  0.000
Pt  0.500  0.500  0.000

Copy entry 9 word for word.
DFT (PBE-GGA) results for a geometry-optimized Si2RhAu structure.

Calculated values
E_form (uncorrected): -5.08 kJ per mole of atoms
Offset from the most stable computed form: 230 meV/atom
Space-group type: No. 123
ρ: 9.8 g/cm³

Lattice parameters (Å, degrees): 3.102 3.102 6.242 90.00 90.00 90.00
Atoms (fractional coordinates):
Au  0.500  0.500  0.250
Rh  0.500  0.500  0.750
Si  0.000  0.000  0.970
Si  0.000  0.000  0.530

Please write out number 12 again, unchanged.
DFT (PBE-GGA) results for a geometry-optimized Cs2K2Pt structure.

Calculated values
Formation energy from the elements: 0.166 eV/atom
Offset from the most stable computed form: 0 meV/atom
Space-group type: No. 127
ρ: 3.3 g/cm³

Lattice parameters (Å, degrees): 8.748 8.748 7.094 90.00 90.00 90.00
Atoms (fractional coordinates):
Cs  0.200  0.700  0.500
Cs  0.700  0.800  0.500
Cs  0.800  0.300  0.500
Cs  0.300  0.200  0.500
K  0.330  0.830  0.000
K  0.830  0.670  0.000
K  0.670  0.170  0.000
K  0.170  0.330  0.000
Pt  0.000  0.000  0.000
Pt  0.500  0.500  0.000

> The highest ρ belongs to which entry?

TlPPd2